[1]
Li2CuSnO4 | GGA-PBEsol | optimized geometry

For the energy above the most stable polymorph in this dataset, the calculation gives 2 meV per atom. The calculation puts the volume at 10.019 Å³ per atom. As for the total magnetic moment: 1.004 μB per formula unit. As for the crystal system: orthorhombic. For the raw formation energy, the calculation gives -12.1 eV per formula unit.

The space group is Imma (No. 74) and the conventional cell measures 5.811, 5.990 and 9.211 Å, with angles of 90.00, 90.00 and 90.00 degrees. The inequivalent atoms are Li at (0.000, 0.000, 0.000), Li at (0.250, 0.250, 0.250), Cu at (0.250, 0.250, 0.750), Sn at (0.000, 0.000, 0.500), O at (0.000, 0.026, 0.726) and O at (0.247, 0.250, 0.479).

=====

[2]
Li2CuSnO4 | GGA-PBEsol | optimized geometry

For the energy above the most stable polymorph in this dataset, the calculation gives 4 meV per atom. The calculation puts the volume at 9.520 Å³ per atom. As for the total magnetic moment: 0.450 μB per formula unit. As for the crystal system: tetragonal. For the raw formation energy, the calculation gives -12.1 eV per formula unit.

The space group is I-4m2 (No. 119) and the conventional cell measures 4.164, 4.164 and 8.785 Å, with angles of 90.00, 90.00 and 90.00 degrees. The inequivalent atoms are Li at (0.000, 0.000, 0.000), Li at (0.000, 0.500, 0.250), Cu at (0.000, 0.000, 0.500), Sn at (0.000, 0.500, 0.750), O at (0.000, 0.000, 0.254) and O at (0.000, 0.500, 0.517).

=====

[3]
Li2CuSnO4 | GGA-PBEsol | optimized geometry

For the energy above the most stable polymorph in this dataset, the calculation gives 0 meV per atom. The calculation puts the volume at 10.040 Å³ per atom. As for the total magnetic moment: 1.006 μB per formula unit. As for the crystal system: monoclinic. For the raw formation energy, the calculation gives -12.2 eV per formula unit.

The space group is P2/m (No. 10) and the conventional cell measures 5.399, 2.973 and 5.556 Å, with angles of 90.00, 115.74 and 90.00 degrees. The inequivalent atoms are Li at (0.000, 0.000, 0.000), Li at (0.000, 0.500, 0.500), Cu at (0.500, 0.000, 0.500), Sn at (0.500, 0.500, 0.000), O at (0.228, 0.000, 0.776) and O at (0.303, 0.500, 0.251).